This record from the Alexandria database describes a relaxed CePmIrCl crystal. The functional is PBE.

Calculated values
The space group is R3m. Its magnetization is 0.77 μB/cell. The calculation puts the raw total energy at -6.50 eV/atom.

Lattice parameters (Å, degrees): 8.0031 8.0031 8.0031 29.40 29.40 29.40
Atoms (fractional coordinates):
Ce (0.0000, 0.0000, 0.0000)
Pm (0.1993, 0.1993, 0.1993)
Ir (0.6034, 0.6034, 0.6034)
Cl (0.4315, 0.4315, 0.4315)